A relaxed structure of RbLaBi2. Source: Alexandria, functional PBE-GGA.

a = 8.5445 Å, b = 8.5445 Å, c = 8.5445 Å
α = 34.68°, β = 34.68°, γ = 34.68°
Element x y z (fractional)
1 Rb 0.0000 0.0000 0.0000
2 La 0.5000 0.5000 0.5000
3 Bi 0.2277 0.2277 0.2277
4 Bi 0.7723 0.7723 0.7723

Values from the calculation:
- symmetry = No. 166
- DOS(E_F) (states/eV per atom) = 0.92
- crystal system = trigonal
- formation energy from the elements (eV per atom) = -0.42
- V (Å³ per cell) = 180
- total magnetic moment (μB per atom) = 0.000
- relative energy among the computed polymorphs (eV/atom) = 0.197
- DFT total energy (eV/atom) = -3.8389

***

A relaxed structure of RbLaBi2. Source: Alexandria, functional PBE-GGA.

a = 5.8989 Å, b = 5.8989 Å, c = 5.8989 Å
α = 60.00°, β = 60.00°, γ = 60.00°
Element x y z (fractional)
1 Rb 0.0000 0.0000 0.0000
2 La 0.5000 0.5000 0.5000
3 Bi 0.2500 0.2500 0.2500
4 Bi 0.7500 0.7500 0.7500

Values from the calculation:
- symmetry = No. 225
- DOS(E_F) (states/eV per atom) = 1.57
- crystal system = cubic
- formation energy from the elements (eV per atom) = -0.38
- V (Å³ per cell) = 145
- total magnetic moment (μB per atom) = 0.000
- relative energy among the computed polymorphs (eV/atom) = 0.246
- DFT total energy (eV/atom) = -3.7895

***

A relaxed structure of RbLaBi2. Source: Alexandria, functional PBE-GGA.

a = 4.4238 Å, b = 4.4238 Å, c = 8.0359 Å
α = 90.00°, β = 90.00°, γ = 90.00°
Element x y z (fractional)
1 Rb 0.0000 0.0000 0.0000
2 La 0.0000 0.0000 0.5000
3 Bi 0.5000 0.5000 0.3086
4 Bi 0.5000 0.5000 0.6914

Values from the calculation:
- symmetry = No. 123
- DOS(E_F) (states/eV per atom) = 0.43
- crystal system = tetragonal
- formation energy from the elements (eV per atom) = -0.62
- V (Å³ per cell) = 157
- total magnetic moment (μB per atom) = 0.000
- relative energy among the computed polymorphs (eV/atom) = 0.000
- DFT total energy (eV/atom) = -4.0358

***

A relaxed structure of RbLa2Bi2. Source: Alexandria, functional PBE-GGA.

a = 8.7554 Å, b = 8.7554 Å, c = 8.7554 Å
α = 143.56°, β = 143.56°, γ = 52.48°
Element x y z (fractional)
1 Rb 0.0000 0.0000 0.0000
2 La 0.2500 0.7500 0.5000
3 La 0.7500 0.2500 0.5000
4 Bi 0.3671 0.3671 0.0000
5 Bi 0.6329 0.6329 0.0000

Values from the calculation:
- symmetry = No. 139
- DOS(E_F) (states/eV per atom) = 0.73
- crystal system = tetragonal
- formation energy from the elements (eV per atom) = -0.53
- V (Å³ per cell) = 235
- total magnetic moment (μB per atom) = 0.080
- relative energy among the computed polymorphs (eV/atom) = 0.108
- DFT total energy (eV/atom) = -4.2479

***

A relaxed structure of RbLaBi2. Source: Alexandria, functional PBE-GGA.

a = 11.5198 Å, b = 11.5198 Å, c = 11.5198 Å
α = 146.83°, β = 146.83°, γ = 47.62°
Element x y z (fractional)
1 Rb 0.0000 0.0000 0.0000
2 Rb 0.7500 0.2500 0.5000
3 La 0.2500 0.7500 0.5000
4 La 0.5000 0.5000 0.0000
5 Bi 0.2951 0.6250 0.1701
6 Bi 0.3750 0.5451 0.6701
7 Bi 0.4549 0.1250 0.8299
8 Bi 0.8750 0.7049 0.3299

Values from the calculation:
- symmetry = No. 122
- DOS(E_F) (states/eV per atom) = 0.25
- crystal system = tetragonal
- formation energy from the elements (eV per atom) = -0.26
- V (Å³ per cell) = 456
- total magnetic moment (μB per atom) = 0.000
- relative energy among the computed polymorphs (eV/atom) = 0.361
- DFT total energy (eV/atom) = -3.6750

***

A relaxed structure of RbLa2Bi. Source: Alexandria, functional PBE-GGA.

a = 7.7882 Å, b = 7.7882 Å, c = 7.7882 Å
α = 102.68°, β = 102.68°, γ = 124.12°
Element x y z (fractional)
1 Rb 0.0000 0.0000 0.0000
2 Rb 0.7500 0.2500 0.5000
3 La 0.1735 0.1250 0.5485
4 La 0.3750 0.8265 0.9515
5 La 0.5765 0.6250 0.4515
6 La 0.8750 0.4235 0.0485
7 Bi 0.2500 0.7500 0.5000
8 Bi 0.5000 0.5000 0.0000

Values from the calculation:
- symmetry = No. 122
- DOS(E_F) (states/eV per atom) = 1.32
- crystal system = tetragonal
- formation energy from the elements (eV per atom) = 0.04
- V (Å³ per cell) = 345
- total magnetic moment (μB per atom) = 0.427
- DFT total energy (eV/atom) = -3.6336

***

Number 6 is which compound?
RbLa2Bi

***

Which of these has the lowest DOS(E_F)?
number 5

***

Which value of formation energy from the elements does entry 1 give?
-0.42 eV per atom

***

What is the formula in the third record?
RbLaBi2